No. 1
Density functional theory data (PBE) for CaBeNb2N4 after structural relaxation.

Values from the calculation:
VASP energy = -8.495 eV per atom
Crystal system = orthorhombic
Total moment = 0.000 μB/f.u.

Geometry as POSCAR:
```
CaBeNb2N4
1.0
1.5783 -5.2693 0.0000
1.5783 5.2693 0.0000
0.0000 0.0000 10.5520
Ca Be Nb N
2 2 4 8
Direct
0.0973 0.9027 0.7500 Ca
0.9027 0.0973 0.2500 Ca
0.1756 0.8244 0.2500 Be
0.8244 0.1756 0.7500 Be
0.3715 0.6285 0.5478 Nb
0.3715 0.6285 0.9522 Nb
0.6285 0.3715 0.0478 Nb
0.6285 0.3715 0.4522 Nb
0.0000 0.0000 0.0000 N
0.0000 0.0000 0.5000 N
0.2671 0.7329 0.1175 N
0.2671 0.7329 0.3825 N
0.4157 0.5843 0.7500 N
0.5843 0.4157 0.2500 N
0.7329 0.2671 0.6175 N
0.7329 0.2671 0.8825 N
```

=====

No. 2
Density functional theory data (PBE) for CaNdBeN2 after structural relaxation.

Values from the calculation:
VASP energy = -6.239 eV per atom
Crystal system = orthorhombic
Total moment = 0.000 μB/f.u.

Geometry as POSCAR:
```
CaNdBeN2
1.0
4.9788 0.0000 0.0000
0.0000 5.3394 0.0000
0.0000 0.0000 6.7164
Ca Nd Be N
2 2 2 4
Direct
0.0000 0.0000 0.2500 Ca
0.0000 0.0000 0.7500 Ca
0.5000 0.5000 0.2500 Nd
0.5000 0.5000 0.7500 Nd
0.5000 0.0000 0.0000 Be
0.5000 0.0000 0.5000 Be
0.2987 0.2208 0.0000 N
0.2987 0.7792 0.5000 N
0.7013 0.2208 0.5000 N
0.7013 0.7792 0.0000 N
```

=====

No. 3
Density functional theory data (PBE) for CaNpBeN3 after structural relaxation.

Values from the calculation:
VASP energy = -8.340 eV per atom
Crystal system = monoclinic
Total moment = 2.000 μB/f.u.

Geometry as POSCAR:
```
CaNpBeN3
1.0
6.8743 0.0000 0.0000
0.0000 3.3227 0.0000
-1.3168 0.0000 6.9766
Ca Np Be N
2 2 2 6
Direct
0.2180 0.2500 0.1769 Ca
0.7820 0.7500 0.8231 Ca
0.1803 0.2500 0.6641 Np
0.8197 0.7500 0.3359 Np
0.4051 0.7500 0.9275 Be
0.5949 0.2500 0.0725 Be
0.1439 0.7500 0.4380 N
0.1532 0.7500 0.8691 N
0.4856 0.2500 0.8383 N
0.5144 0.7500 0.1617 N
0.8468 0.2500 0.1309 N
0.8561 0.2500 0.5620 N
```

=====

No. 4
Density functional theory data (PBE) for Ca3Np3BeN8 after structural relaxation.

Values from the calculation:
VASP energy = -8.508 eV per atom
Crystal system = monoclinic
Total moment = 5.000 μB/f.u.

Geometry as POSCAR:
```
Ca3Np3BeN8
1.0
5.7824 -3.3332 0.0000
5.7824 3.3332 0.0000
-3.8520 0.0000 5.6254
Ca Np Be N
3 3 1 8
Direct
0.0000 0.0000 0.0000 Ca
0.0000 0.5000 0.0000 Ca
0.5000 0.0000 0.0000 Ca
0.0000 0.5000 0.5000 Np
0.5000 0.0000 0.5000 Np
0.5000 0.5000 0.5000 Np
0.0000 0.0000 0.5000 Be
0.2289 0.7320 0.6898 N
0.2301 0.2301 0.6907 N
0.2571 0.2571 0.2713 N
0.2680 0.7711 0.3102 N
0.7320 0.2289 0.6898 N
0.7429 0.7429 0.7287 N
0.7699 0.7699 0.3093 N
0.7711 0.2680 0.3102 N
```

=====

No. 5
Density functional theory data (PBE) for CaBeNO2 after structural relaxation.

Values from the calculation:
VASP energy = -3.988 eV per atom
Crystal system = tetragonal
Total moment = 3.018 μB/f.u.

Geometry as POSCAR:
```
CaBeNO2
1.0
4.3230 0.0000 0.0000
0.0000 4.3230 0.0000
0.0000 0.0000 4.5156
Ca Be N O
1 1 1 2
Direct
0.0000 0.0000 0.0000 Ca
0.5000 0.5000 0.5000 Be
0.0000 0.0000 0.5000 N
0.0000 0.5000 0.0000 O
0.5000 0.0000 0.0000 O
```

=====

No. 6
Density functional theory data (PBE) for Ca2Be2N2O after structural relaxation.

Values from the calculation:
VASP energy = -6.221 eV per atom
Crystal system = monoclinic
Total moment = 0.000 μB/f.u.

Geometry as POSCAR:
```
Ca2Be2N2O
1.0
4.8003 -1.5543 0.0000
4.8003 1.5543 0.0000
-3.0637 0.0000 4.8636
Ca Be N O
2 2 2 1
Direct
0.0671 0.0671 0.3344 Ca
0.9329 0.9329 0.6656 Ca
0.2966 0.2966 0.9253 Be
0.7034 0.7034 0.0747 Be
0.2987 0.2987 0.2408 N
0.7013 0.7013 0.7592 N
0.5000 0.5000 0.0000 O
```

=====

No. 7
Density functional theory data (PBE) for CaBeNO2 after structural relaxation.

Values from the calculation:
VASP energy = -5.780 eV per atom
Crystal system = tetragonal
Total moment = 0.000 μB/f.u.

Geometry as POSCAR:
```
CaBeNO2
1.0
3.8122 0.0000 0.0000
0.0000 3.8122 0.0000
0.0000 0.0000 3.3100
Ca Be N O
1 1 1 2
Direct
0.0000 0.0000 0.0000 Ca
0.5000 0.5000 0.5000 Be
0.5000 0.5000 0.0000 N
0.0000 0.5000 0.5000 O
0.5000 0.0000 0.5000 O
```

=====

No. 8
Density functional theory data (PBE) for CaBe2PN4 after structural relaxation.

Values from the calculation:
VASP energy = -6.838 eV per atom
Crystal system = orthorhombic
Total moment = 1.028 μB/f.u.

Geometry as POSCAR:
```
CaBe2PN4
1.0
6.4769 0.0000 0.0000
0.0000 5.0042 0.0000
0.0000 0.0000 4.8656
Ca Be P N
2 4 2 8
Direct
0.0000 0.2057 0.0000 Ca
0.5000 0.7943 0.5000 Ca
0.2436 0.6694 0.0147 Be
0.2564 0.3306 0.5147 Be
0.7436 0.3306 0.5147 Be
0.7564 0.6694 0.0147 Be
0.0000 0.7955 0.5233 P
0.5000 0.2045 0.0233 P
0.0000 0.1219 0.4779 N
0.0000 0.7402 0.8572 N
0.1861 0.6302 0.3617 N
0.3139 0.3698 0.8617 N
0.5000 0.2598 0.3572 N
0.5000 0.8781 0.9779 N
0.6861 0.3698 0.8617 N
0.8139 0.6302 0.3617 N
```

=====

No. 9
Density functional theory data (PBE) for Ca3Pa3BeN8 after structural relaxation.

Values from the calculation:
VASP energy = -8.030 eV per atom
Crystal system = monoclinic
Total moment = 0.848 μB/f.u.

Geometry as POSCAR:
```
Ca3Pa3BeN8
1.0
5.9604 -3.4398 0.0000
5.9604 3.4398 0.0000
-3.9753 0.0000 5.6441
Ca Pa Be N
3 3 1 8
Direct
0.0000 0.0000 0.0000 Ca
0.0000 0.5000 0.0000 Ca
0.5000 0.0000 0.0000 Ca
0.0000 0.5000 0.5000 Pa
0.5000 0.0000 0.5000 Pa
0.5000 0.5000 0.5000 Pa
0.0000 0.0000 0.5000 Be
0.2294 0.2294 0.6964 N
0.2312 0.7364 0.6976 N
0.2572 0.2572 0.2732 N
0.2636 0.7688 0.3024 N
0.7364 0.2312 0.6976 N
0.7428 0.7428 0.7268 N
0.7688 0.2636 0.3024 N
0.7706 0.7706 0.3036 N
```

=====

No. 10
Density functional theory data (PBE) for Ca4Pa3BeN8 after structural relaxation.

Values from the calculation:
VASP energy = -7.868 eV per atom
Crystal system = monoclinic
Total moment = 0.000 μB/f.u.

Geometry as POSCAR:
```
Ca4Pa3BeN8
1.0
6.0441 -3.4493 0.0000
6.0441 3.4493 0.0000
-3.9658 0.0000 5.6832
Ca Pa Be N
4 3 1 8
Direct
0.0000 0.0000 0.0000 Ca
0.0000 0.5000 0.5000 Ca
0.5000 0.0000 0.5000 Ca
0.5000 0.5000 0.0000 Ca
0.0000 0.0000 0.5000 Pa
0.0000 0.5000 0.0000 Pa
0.5000 0.0000 0.0000 Pa
0.5000 0.5000 0.5000 Be
0.2313 0.7388 0.2580 N
0.2386 0.2386 0.7582 N
0.2491 0.2491 0.2208 N
0.2612 0.7687 0.7420 N
0.7388 0.2313 0.2580 N
0.7509 0.7509 0.7792 N
0.7614 0.7614 0.2418 N
0.7687 0.2612 0.7420 N
```

=====

No. 11
Density functional theory data (PBE) for CaPaBeN3 after structural relaxation.

Values from the calculation:
VASP energy = -8.030 eV per atom
Crystal system = monoclinic
Total moment = 0.000 μB/f.u.

Geometry as POSCAR:
```
CaPaBeN3
1.0
6.8530 0.0000 0.0000
0.0000 3.4177 0.0000
-1.1197 0.0000 7.0955
Ca Pa Be N
2 2 2 6
Direct
0.2120 0.2500 0.1671 Ca
0.7880 0.7500 0.8329 Ca
0.1898 0.2500 0.6579 Pa
0.8102 0.7500 0.3421 Pa
0.4044 0.7500 0.9302 Be
0.5956 0.2500 0.0698 Be
0.1476 0.7500 0.4364 N
0.1552 0.7500 0.8634 N
0.4901 0.2500 0.8437 N
0.5099 0.7500 0.1563 N
0.8448 0.2500 0.1366 N
0.8524 0.2500 0.5636 N
```

=====

No. 12
Density functional theory data (PBE) for CaPa2BeN4 after structural relaxation.

Values from the calculation:
VASP energy = -8.582 eV per atom
Crystal system = orthorhombic
Total moment = 0.839 μB/f.u.

Geometry as POSCAR:
```
CaPa2BeN4
1.0
1.7531 -5.7495 0.0000
1.7531 5.7495 0.0000
0.0000 0.0000 11.2254
Ca Pa Be N
2 4 2 8
Direct
0.0966 0.9034 0.7500 Ca
0.9034 0.0966 0.2500 Ca
0.3695 0.6305 0.5556 Pa
0.3695 0.6305 0.9444 Pa
0.6305 0.3695 0.0556 Pa
0.6305 0.3695 0.4444 Pa
0.1875 0.8125 0.2500 Be
0.8125 0.1875 0.7500 Be
0.0000 0.0000 0.0000 N
0.0000 0.0000 0.5000 N
0.2614 0.7386 0.1218 N
0.2614 0.7386 0.3782 N
0.4167 0.5833 0.7500 N
0.5833 0.4167 0.2500 N
0.7386 0.2614 0.6218 N
0.7386 0.2614 0.8782 N
```

=====

No. 13
Density functional theory data (PBE) for CaPmBeN2 after structural relaxation.

Values from the calculation:
VASP energy = -6.256 eV per atom
Crystal system = orthorhombic
Total moment = 0.000 μB/f.u.

Geometry as POSCAR:
```
CaPmBeN2
1.0
4.9845 0.0000 0.0000
0.0000 5.2952 0.0000
0.0000 0.0000 6.6806
Ca Pm Be N
2 2 2 4
Direct
0.0000 0.0000 0.2500 Ca
0.0000 0.0000 0.7500 Ca
0.5000 0.5000 0.2500 Pm
0.5000 0.5000 0.7500 Pm
0.5000 0.0000 0.0000 Be
0.5000 0.0000 0.5000 Be
0.3003 0.2237 0.0000 N
0.3003 0.7763 0.5000 N
0.6997 0.2237 0.5000 N
0.6997 0.7763 0.0000 N
```

=====

No. 14
Density functional theory data (PBE) for CaBePt2N after structural relaxation.

Values from the calculation:
VASP energy = -3.371 eV per atom
Crystal system = tetragonal
Total moment = 0.005 μB/f.u.

Geometry as POSCAR:
```
CaBePt2N
1.0
5.0403 0.0000 0.0000
0.0000 5.0403 0.0000
0.0000 0.0000 4.0618
Ca Be Pt N
1 1 2 1
Direct
0.0000 0.0000 0.0000 Ca
0.5000 0.5000 0.5000 Be
0.0000 0.5000 0.0000 Pt
0.5000 0.0000 0.0000 Pt
0.0000 0.0000 0.5000 N
```

=====

No. 15
Density functional theory data (PBE) for CaBe2PtN after structural relaxation.

Values from the calculation:
VASP energy = -4.601 eV per atom
Crystal system = tetragonal
Total moment = 0.000 μB/f.u.

Geometry as POSCAR:
```
CaBe2PtN
1.0
3.7082 0.0000 0.0000
0.0000 3.7082 0.0000
0.0000 0.0000 5.1819
Ca Be Pt N
1 2 1 1
Direct
0.0000 0.0000 0.0000 Ca
0.0000 0.5000 0.5000 Be
0.5000 0.0000 0.5000 Be
0.5000 0.5000 0.0000 Pt
0.5000 0.5000 0.5000 N
```

=====

No. 16
Density functional theory data (PBE) for Ca2BePtN after structural relaxation.

Values from the calculation:
VASP energy = -5.187 eV per atom
Crystal system = tetragonal
Total moment = 0.000 μB/f.u.

Geometry as POSCAR:
```
Ca2BePtN
1.0
5.0831 0.0000 0.0000
0.0000 5.0831 0.0000
0.0000 0.0000 3.2435
Ca Be Pt N
2 1 1 1
Direct
0.0000 0.5000 0.0000 Ca
0.5000 0.0000 0.0000 Ca
0.0000 0.0000 0.5000 Be
0.5000 0.5000 0.5000 Pt
0.0000 0.0000 0.0000 N
```

=====

No. 17
Density functional theory data (PBE) for CaPuBeN3 after structural relaxation.

Values from the calculation:
VASP energy = -8.536 eV per atom
Crystal system = monoclinic
Total moment = 3.000 μB/f.u.

Geometry as POSCAR:
```
CaPuBeN3
1.0
6.8701 0.0000 0.0000
0.0000 3.3228 0.0000
-1.3265 0.0000 6.9503
Ca Pu Be N
2 2 2 6
Direct
0.2196 0.2500 0.1786 Ca
0.7804 0.7500 0.8214 Ca
0.1784 0.2500 0.6650 Pu
0.8216 0.7500 0.3350 Pu
0.4056 0.7500 0.9266 Be
0.5944 0.2500 0.0734 Be
0.1443 0.7500 0.4385 N
0.1534 0.7500 0.8690 N
0.4859 0.2500 0.8379 N
0.5141 0.7500 0.1621 N
0.8466 0.2500 0.1310 N
0.8557 0.2500 0.5615 N
```

=====

No. 18
Density functional theory data (PBE) for Ca4Pu3BeN8 after structural relaxation.

Values from the calculation:
VASP energy = -8.519 eV per atom
Crystal system = monoclinic
Total moment = 10.000 μB/f.u.

Geometry as POSCAR:
```
Ca4Pu3BeN8
1.0
5.9186 -3.3684 0.0000
5.9186 3.3684 0.0000
-3.8790 0.0000 5.6318
Ca Pu Be N
4 3 1 8
Direct
0.0000 0.0000 0.0000 Ca
0.0000 0.5000 0.0000 Ca
0.5000 0.0000 0.0000 Ca
0.5000 0.5000 0.0000 Ca
0.0000 0.0000 0.5000 Pu
0.0000 0.5000 0.5000 Pu
0.5000 0.0000 0.5000 Pu
0.5000 0.5000 0.5000 Be
0.2323 0.7391 0.7100 N
0.2409 0.2409 0.7220 N
0.2516 0.2516 0.2815 N
0.2609 0.7677 0.2900 N
0.7391 0.2323 0.7100 N
0.7484 0.7484 0.7185 N
0.7591 0.7591 0.2780 N
0.7677 0.2609 0.2900 N
```

=====

No. 19
Density functional theory data (PBE) for Ca2PuBe2N4 after structural relaxation.

Values from the calculation:
VASP energy = -7.536 eV per atom
Crystal system = monoclinic
Total moment = 4.000 μB/f.u.

Geometry as POSCAR:
```
Ca2PuBe2N4
1.0
6.1160 -1.6127 0.0000
6.1160 1.6127 0.0000
-2.7392 0.0000 5.5963
Ca Pu Be N
2 1 2 4
Direct
0.1333 0.1333 0.0825 Ca
0.8667 0.8667 0.9175 Ca
0.0000 0.0000 0.5000 Pu
0.3208 0.3208 0.5260 Be
0.6792 0.6792 0.4740 Be
0.2153 0.2153 0.6467 N
0.4740 0.4740 0.7366 N
0.5260 0.5260 0.2634 N
0.7847 0.7847 0.3533 N
```

=====

No. 20
Density functional theory data (PBE) for Ca2BeRhN after structural relaxation.

Values from the calculation:
VASP energy = -4.911 eV per atom
Crystal system = tetragonal
Total moment = 0.000 μB/f.u.

Geometry as POSCAR:
```
Ca2BeRhN
1.0
4.9294 0.0000 0.0000
0.0000 4.9294 0.0000
0.0000 0.0000 3.8309
Ca Be Rh N
2 1 1 1
Direct
0.0000 0.5000 0.0000 Ca
0.5000 0.0000 0.0000 Ca
0.0000 0.0000 0.5000 Be
0.5000 0.5000 0.5000 Rh
0.5000 0.5000 0.0000 N
```